(1)
! AsOs2W, relaxed, DFT PBE-GGA; values from VASP
&SYSTEM
  ibrav = 0, nat = 4, ntyp = 3
/
ATOMIC_SPECIES
As 74.92 As.upf
Os 190.23 Os.upf
W 183.84 W.upf
ATOMIC_POSITIONS crystal
As 0.000 0.000 0.000
Os 0.250 0.750 0.500
Os 0.500 0.500 0.000
W 0.750 0.250 0.500
CELL_PARAMETERS angstrom
-1.921 1.921 4.072
1.921 -1.921 4.072
1.921 1.921 -4.072
! Symmetry = I-4m2 (119)
! Calculated formation energy = 0.5328 eV/atom
! Spin magnetization = 0.00 Bohr magnetons per cell

---

(2)
! AsOs2W, relaxed, DFT PBE-GGA; values from VASP
&SYSTEM
  ibrav = 0, nat = 8, ntyp = 3
/
ATOMIC_SPECIES
As 74.92 As.upf
Os 190.23 Os.upf
W 183.84 W.upf
ATOMIC_POSITIONS crystal
As 0.000 0.000 0.000
As 0.750 0.250 0.500
Os 0.116 0.625 0.991
Os 0.375 0.366 0.491
Os 0.634 0.125 0.009
Os 0.875 0.884 0.509
W 0.250 0.750 0.500
W 0.500 0.500 0.000
CELL_PARAMETERS angstrom
-2.795 2.795 5.591
2.795 -2.795 5.591
2.795 2.795 -5.591
! Symmetry = I-42d (122)
! Calculated formation energy = 0.8640 eV/atom
! Spin magnetization = 0.00 Bohr magnetons per cell

---

(3)
! AsOs2W, relaxed, DFT PBE-GGA; values from VASP
&SYSTEM
  ibrav = 0, nat = 4, ntyp = 3
/
ATOMIC_SPECIES
As 74.92 As.upf
Os 190.23 Os.upf
W 183.84 W.upf
ATOMIC_POSITIONS crystal
As 0.000 0.000 0.000
Os 0.510 0.510 0.484
Os 0.780 0.780 0.280
W 0.234 0.234 0.751
CELL_PARAMETERS angstrom
4.700 -1.449 0.000
4.700 1.449 0.000
-0.337 0.000 4.526
! Symmetry = Cm (8)
! Calculated formation energy = 0.3501 eV/atom
! Spin magnetization = 0.00 Bohr magnetons per cell

---

(4)
! AsOs2W, relaxed, DFT PBE-GGA; values from VASP
&SYSTEM
  ibrav = 0, nat = 4, ntyp = 3
/
ATOMIC_SPECIES
As 74.92 As.upf
Os 190.23 Os.upf
W 183.84 W.upf
ATOMIC_POSITIONS crystal
As 0.000 0.000 0.000
Os 0.500 0.500 0.254
Os 0.500 0.500 0.746
W 0.000 0.000 0.500
CELL_PARAMETERS angstrom
2.889 0.000 0.000
0.000 3.889 0.000
0.000 0.000 5.397
! Symmetry = Pmmm (47)
! Calculated formation energy = 0.3706 eV/atom
! Spin magnetization = 0.00 Bohr magnetons per cell

---

(5)
! AsOsW2, relaxed, DFT PBE-GGA; values from VASP
&SYSTEM
  ibrav = 0, nat = 4, ntyp = 3
/
ATOMIC_SPECIES
As 74.92 As.upf
Os 190.23 Os.upf
W 183.84 W.upf
ATOMIC_POSITIONS crystal
As 0.000 0.000 0.000
Os 0.500 0.500 0.500
W 0.246 0.246 0.737
W 0.754 0.754 0.263
CELL_PARAMETERS angstrom
4.709 -1.509 0.000
4.709 1.509 0.000
-0.939 0.000 4.396
! Symmetry = C2/m (12)
! Calculated formation energy = 0.3504 eV/atom
! Spin magnetization = 0.00 Bohr magnetons per cell

---

(6)
! AsOsW2, relaxed, DFT PBE-GGA; values from VASP
&SYSTEM
  ibrav = 0, nat = 4, ntyp = 3
/
ATOMIC_SPECIES
As 74.92 As.upf
Os 190.23 Os.upf
W 183.84 W.upf
ATOMIC_POSITIONS crystal
As 0.000 0.000 0.000
Os 0.141 0.500 0.281
W 0.403 0.500 0.802
W 0.753 0.000 0.505
CELL_PARAMETERS angstrom
2.887 0.000 0.000
0.000 4.027 0.000
-1.436 0.000 5.317
! Symmetry = Pm (6)
! Calculated formation energy = 0.2605 eV/atom
! Spin magnetization = 0.00 Bohr magnetons per cell

---

(7)
! AsOsW4, relaxed, DFT PBE-GGA; values from VASP
&SYSTEM
  ibrav = 0, nat = 6, ntyp = 3
/
ATOMIC_SPECIES
As 74.92 As.upf
Os 190.23 Os.upf
W 183.84 W.upf
ATOMIC_POSITIONS crystal
As 0.000 0.000 0.000
Os 0.750 0.750 0.750
W 0.374 0.374 0.374
W 0.374 0.374 0.877
W 0.374 0.877 0.374
W 0.877 0.374 0.374
CELL_PARAMETERS angstrom
0.000 3.710 3.710
3.710 0.000 3.710
3.710 3.710 0.000
! Symmetry = F-43m (216)
! Calculated formation energy = 0.8646 eV/atom
! Spin magnetization = 0.00 Bohr magnetons per cell

---

(8)
! AsOs2W, relaxed, DFT PBE-GGA; values from VASP
&SYSTEM
  ibrav = 0, nat = 4, ntyp = 3
/
ATOMIC_SPECIES
As 74.92 As.upf
Os 190.23 Os.upf
W 183.84 W.upf
ATOMIC_POSITIONS crystal
As 0.000 0.000 0.000
Os 0.500 0.500 0.258
Os 0.500 0.500 0.742
W 0.000 0.000 0.500
CELL_PARAMETERS angstrom
1.472 -2.362 0.000
1.472 2.362 0.000
0.000 0.000 9.051
! Symmetry = Cmmm (65)
! Calculated formation energy = 0.5800 eV/atom
! Spin magnetization = 0.00 Bohr magnetons per cell

---

(9)
! AsOsW2, relaxed, DFT PBE-GGA; values from VASP
&SYSTEM
  ibrav = 0, nat = 4, ntyp = 3
/
ATOMIC_SPECIES
As 74.92 As.upf
Os 190.23 Os.upf
W 183.84 W.upf
ATOMIC_POSITIONS crystal
As 0.000 0.000 0.000
Os 0.500 0.500 0.000
W 0.250 0.750 0.500
W 0.750 0.250 0.500
CELL_PARAMETERS angstrom
-1.895 1.895 4.269
1.895 -1.895 4.269
1.895 1.895 -4.269
! Symmetry = I4/mmm (139)
! Calculated formation energy = 0.4280 eV/atom
! Spin magnetization = 0.00 Bohr magnetons per cell

---

(10)
! AsOsW2, relaxed, DFT PBE-GGA; values from VASP
&SYSTEM
  ibrav = 0, nat = 8, ntyp = 3
/
ATOMIC_SPECIES
As 74.92 As.upf
Os 190.23 Os.upf
W 183.84 W.upf
ATOMIC_POSITIONS crystal
As 0.000 0.000 0.000
As 0.750 0.250 0.500
Os 0.250 0.750 0.500
Os 0.500 0.500 0.000
W 0.132 0.625 0.007
W 0.375 0.382 0.507
W 0.618 0.125 0.993
W 0.875 0.868 0.493
CELL_PARAMETERS angstrom
-2.816 2.816 5.813
2.816 -2.816 5.813
2.816 2.816 -5.813
! Symmetry = I-42d (122)
! Calculated formation energy = 1.1851 eV/atom
! Spin magnetization = 0.00 Bohr magnetons per cell

---

(11)
! AsOs2W, relaxed, DFT PBE-GGA; values from VASP
&SYSTEM
  ibrav = 0, nat = 4, ntyp = 3
/
ATOMIC_SPECIES
As 74.92 As.upf
Os 190.23 Os.upf
W 183.84 W.upf
ATOMIC_POSITIONS crystal
As 0.000 0.000 0.000
Os 0.252 0.252 0.252
Os 0.748 0.748 0.748
W 0.500 0.500 0.500
CELL_PARAMETERS angstrom
1.425 0.823 8.586
-1.425 0.823 8.586
0.000 -1.645 8.586
! Symmetry = R-3m (166)
! Calculated formation energy = 0.2691 eV/atom
! Spin magnetization = 0.00 Bohr magnetons per cell

---

(12)
! AsOs2W, relaxed, DFT PBE-GGA; values from VASP
&SYSTEM
  ibrav = 0, nat = 4, ntyp = 3
/
ATOMIC_SPECIES
As 74.92 As.upf
Os 190.23 Os.upf
W 183.84 W.upf
ATOMIC_POSITIONS crystal
As 0.000 0.000 0.000
Os 0.224 0.724 0.500
Os 0.776 0.276 0.500
W 0.500 0.500 0.000
CELL_PARAMETERS angstrom
-1.463 2.236 4.519
1.463 -2.236 4.519
1.463 2.236 -4.519
! Symmetry = Immm (71)
! Calculated formation energy = 0.2649 eV/atom
! Spin magnetization = 0.00 Bohr magnetons per cell

---

Number 1: D(E_F) 1.22 states/eV per atom. Number 2: D(E_F) 0.56 states/eV per atom. Number 3: D(E_F) 0.93 states/eV per atom. Number 4: D(E_F) 0.77 states/eV per atom. Number 5: D(E_F) 0.62 states/eV per atom. Number 6: D(E_F) 0.88 states/eV per atom. Number 7: D(E_F) 1.10 states/eV per atom. Number 8: D(E_F) 1.09 states/eV per atom. Number 9: D(E_F) 0.51 states/eV per atom. Number 10: D(E_F) 0.89 states/eV per atom. Number 11: D(E_F) 0.80 states/eV per atom. Number 12: D(E_F) 0.71 states/eV per atom.